Here is a crystal of Mg2MnWO6 relaxed with PBEsol from the Alexandria database. Energies are from SCAN.

Summary:
Space-group type: No. 146
E above lowest polymorph: 0 meV/atom
Uncorrected formation energy: -2560 meV per atom
DFT total energy: -16.09 eV per atom

Cell: 5.159 5.159 5.516 Å, 62.12 62.12 60.00°
Fractional coordinates of all 10 atoms:
Mg (0.208, 0.208, 0.377)
Mg (0.707, 0.707, 0.879)
Mn (0.492, 0.492, 0.523)
W (0.003, 0.003, 0.992)
O (0.804, 0.387, 0.708)
O (0.272, 0.633, 0.189)
O (0.633, 0.906, 0.189)
O (0.906, 0.272, 0.189)
O (0.101, 0.804, 0.708)
O (0.387, 0.101, 0.708)